1.
La2ScAl2: single point on PBEsol structure, meta-GGA SCAN.

total energy: -23.493 eV per atom
volume: 273 Å³ per cell
space-group type: P4/mbm (127)

CIF file:
```
data_La2ScAl2
_symmetry_space_group_name_H-M 'P 1'
_symmetry_Int_Tables_number 1
_cell_length_a 4.6655
_cell_length_b 7.6438
_cell_length_c 7.6438
_cell_angle_alpha 90.00
_cell_angle_beta 90.00
_cell_angle_gamma 90.00
loop_
_symmetry_equiv_pos_as_xyz
'x,y,z'
loop_
_atom_site_label
_atom_site_fract_x
_atom_site_fract_y
_atom_site_fract_z
Sc1 0.0000 0.0000 0.0000
Sc2 0.0000 0.5000 0.5000
Al1 0.0000 0.3765 0.8765
Al2 0.0000 0.8765 0.6235
Al3 0.0000 0.6235 0.1235
Al4 0.0000 0.1235 0.3765
La1 0.5000 0.1744 0.6744
La2 0.5000 0.6744 0.8256
La3 0.5000 0.8256 0.3256
La4 0.5000 0.3256 0.1744
```

---

2.
LaScAl2: single point on PBEsol structure, meta-GGA SCAN.

E above lowest polymorph: 19.5 kJ/mol of formula units
total energy: -18.579 eV per atom
volume: 90 Å³ per cell
space-group type: Fm-3m (225)

CIF file:
```
data_LaScAl2
_symmetry_space_group_name_H-M 'P 1'
_symmetry_Int_Tables_number 1
_cell_length_a 5.0254
_cell_length_b 5.0276
_cell_length_c 5.0254
_cell_angle_alpha 60.01
_cell_angle_beta 90.00
_cell_angle_gamma 119.99
loop_
_symmetry_equiv_pos_as_xyz
'x,y,z'
loop_
_atom_site_label
_atom_site_fract_x
_atom_site_fract_y
_atom_site_fract_z
Sc1 0.5000 0.0000 0.5000
Al1 0.2500 0.5000 0.2500
Al2 0.7500 0.5000 0.7500
La1 0.0000 0.0000 0.0000
```

---

3.
La3ScAl8: single point on PBEsol structure, meta-GGA SCAN.

total energy: -17.625 eV per atom
volume: 259 Å³ per cell
space-group type: R3m (160)

CIF file:
```
data_La3ScAl8
_symmetry_space_group_name_H-M 'P 1'
_symmetry_Int_Tables_number 1
_cell_length_a 5.6550
_cell_length_b 5.6550
_cell_length_c 9.8903
_cell_angle_alpha 73.39
_cell_angle_beta 73.39
_cell_angle_gamma 60.00
loop_
_symmetry_equiv_pos_as_xyz
'x,y,z'
loop_
_atom_site_label
_atom_site_fract_x
_atom_site_fract_y
_atom_site_fract_z
Sc1 0.8749 0.8749 0.3753
Al1 0.4360 0.4360 0.1933
Al2 0.9386 0.9386 0.6809
Al3 0.4360 0.9347 0.1933
Al4 0.9386 0.4419 0.6809
Al5 0.1879 0.1879 0.4362
Al6 0.6870 0.6870 0.9390
Al7 0.9347 0.4360 0.1933
Al8 0.4419 0.9386 0.6809
La1 0.3746 0.3746 0.8763
La2 0.9993 0.9993 0.0021
La3 0.5006 0.5006 0.4983
```

---

4.
LaScAl2: single point on PBEsol structure, meta-GGA SCAN.

E above lowest polymorph: 0.2 kJ/mol of formula units
total energy: -18.629 eV per atom
volume: 90 Å³ per cell
space-group type: P4/mmm (123)

CIF file:
```
data_LaScAl2
_symmetry_space_group_name_H-M 'P 1'
_symmetry_Int_Tables_number 1
_cell_length_a 3.5338
_cell_length_b 3.5338
_cell_length_c 7.1849
_cell_angle_alpha 90.00
_cell_angle_beta 90.00
_cell_angle_gamma 90.00
loop_
_symmetry_equiv_pos_as_xyz
'x,y,z'
loop_
_atom_site_label
_atom_site_fract_x
_atom_site_fract_y
_atom_site_fract_z
Sc1 0.5000 0.5000 0.5000
Al1 0.0000 0.0000 0.7086
Al2 0.0000 0.0000 0.2914
La1 0.5000 0.5000 0.0000
```

---

5.
La9Al5Se21: single point on PBEsol structure, meta-GGA SCAN.

uncorrected formation energy: -1.867 eV per atom
total energy: -26.105 eV per atom
volume: 1781 Å³ per cell
space-group type: R3 (146)

CIF file:
```
data_La9Al5Se21
_symmetry_space_group_name_H-M 'P 1'
_symmetry_Int_Tables_number 1
_cell_length_a 12.1845
_cell_length_b 12.1845
_cell_length_c 12.1845
_cell_angle_alpha 95.58
_cell_angle_beta 95.58
_cell_angle_gamma 95.58
loop_
_symmetry_equiv_pos_as_xyz
'x,y,z'
loop_
_atom_site_label
_atom_site_fract_x
_atom_site_fract_y
_atom_site_fract_z
La1 0.8849 0.7437 0.1154
La2 0.2263 0.0740 0.4541
La3 0.5563 0.3992 0.7689
La4 0.7689 0.5563 0.3992
La5 0.1154 0.8849 0.7437
La6 0.4541 0.2263 0.0740
La7 0.0740 0.4541 0.2263
La8 0.3992 0.7689 0.5563
La9 0.7437 0.1154 0.8849
La10 0.4350 0.5837 0.2105
La11 0.7776 0.9315 0.5527
La12 0.1031 0.2496 0.8787
La13 0.5527 0.7776 0.9315
La14 0.8787 0.1031 0.2496
La15 0.2105 0.4350 0.5837
La16 0.2496 0.8787 0.1031
La17 0.5837 0.2105 0.4350
La18 0.9315 0.5527 0.7776
Al1 0.3880 0.0478 0.7198
Al2 0.7198 0.3880 0.0478
Al3 0.0478 0.7198 0.3880
Al4 0.2251 0.5485 0.8818
Al5 0.5485 0.8818 0.2251
Al6 0.8818 0.2251 0.5485
Al7 0.8539 0.8539 0.8539
Al8 0.1661 0.1661 0.1661
Al9 0.6693 0.6693 0.6693
Al10 0.3511 0.3511 0.3511
Se1 0.5122 0.1741 0.8424
Se2 0.8424 0.5122 0.1741
Se3 0.1741 0.8424 0.5122
Se4 0.0091 0.3431 0.6761
Se5 0.3431 0.6761 0.0091
Se6 0.6761 0.0091 0.3431
Se7 0.4533 0.0117 0.5424
Se8 0.7887 0.3581 0.8724
Se9 0.1119 0.6942 0.2081
Se10 0.2081 0.1119 0.6942
Se11 0.5424 0.4533 0.0117
Se12 0.8724 0.7887 0.3581
Se13 0.3581 0.8724 0.7887
Se14 0.6942 0.2081 0.1119
Se15 0.0117 0.5424 0.4533
Se16 0.0672 0.4830 0.9682
Se17 0.3860 0.8154 0.3027
Se18 0.7206 0.1638 0.6343
Se19 0.3027 0.3860 0.8154
Se20 0.6343 0.7206 0.1638
Se21 0.9682 0.0672 0.4830
Se22 0.1638 0.6343 0.7206
Se23 0.4830 0.9682 0.0672
Se24 0.8154 0.3027 0.3860
Se25 0.4017 0.3040 0.5486
Se26 0.7534 0.6602 0.8872
Se27 0.0883 0.9905 0.2310
Se28 0.2310 0.0883 0.9905
Se29 0.5486 0.4017 0.3040
Se30 0.8872 0.7534 0.6602
Se31 0.6602 0.8872 0.7534
Se32 0.9905 0.2310 0.0883
Se33 0.3040 0.5486 0.4017
Se34 0.2778 0.3691 0.1427
Se35 0.6165 0.7206 0.4804
Se36 0.9394 0.0342 0.7885
Se37 0.4804 0.6165 0.7206
Se38 0.7885 0.9394 0.0342
Se39 0.1427 0.2778 0.3691
Se40 0.0342 0.7885 0.9394
Se41 0.3691 0.1427 0.2778
Se42 0.7206 0.4804 0.6165
```

---

6.
LaAlSe: single point on PBEsol structure, meta-GGA SCAN.

E above lowest polymorph: 3.4 kJ/mol of formula units
uncorrected formation energy: -0.690 eV per atom
total energy: -24.335 eV per atom
volume: 82 Å³ per cell
space-group type: F-43m (216)

CIF file:
```
data_LaAlSe
_symmetry_space_group_name_H-M 'P 1'
_symmetry_Int_Tables_number 1
_cell_length_a 4.8689
_cell_length_b 4.8689
_cell_length_c 4.8689
_cell_angle_alpha 60.00
_cell_angle_beta 60.00
_cell_angle_gamma 60.00
loop_
_symmetry_equiv_pos_as_xyz
'x,y,z'
loop_
_atom_site_label
_atom_site_fract_x
_atom_site_fract_y
_atom_site_fract_z
Al1 0.0000 0.0000 0.0000
Se1 0.7500 0.7500 0.7500
La1 0.5000 0.5000 0.5000
```